Entry i
VASP calculation (PBE) on crystalline Tm2TiCd at its relaxed geometry.

The structure in POSCAR format:
```
Tm2TiCd
1.0
0.0000 3.6574 3.6574
3.6574 0.0000 3.6574
3.6574 3.6574 0.0000
Tm Ti Cd
2 1 1
Direct
0.2500 0.2500 0.2500
0.7500 0.7500 0.7500
0.0000 0.0000 0.0000
0.5000 0.5000 0.5000
```

Output
DOS(E_F) = 8.52 states/eV per cell
Total moment = 2.6 μB per formula unit
Space group = No. 225
V = 98 Å³/cell

---

Entry ii
VASP calculation (PBE) on crystalline Tm2TiCd at its relaxed geometry.

The structure in POSCAR format:
```
Tm2TiCd
1.0
1.6292 0.9406 11.1920
-1.6292 0.9406 11.1920
0.0000 -1.8812 11.1920
Tm Ti Cd
2 1 1
Direct
0.0873 0.0873 0.0873
0.9127 0.9127 0.9127
0.0000 0.0000 0.0000
0.5000 0.5000 0.5000
```

Output
DOS(E_F) = 5.65 states/eV per cell
Total moment = 2.2 μB per formula unit
Space group = No. 166
V = 103 Å³/cell

---

Relative energies in meV/atom: entry i 0; entry ii 309

---

Entry i
VASP calculation (PBE) on crystalline Tm2TiCd at its relaxed geometry.

The structure in POSCAR format:
```
Tm2TiCd
1.0
4.9841 0.0000 0.0000
0.0000 4.9841 0.0000
0.0000 0.0000 3.9446
Tm Ti Cd
2 1 1
Direct
0.0000 0.5000 0.0000
0.5000 0.0000 0.0000
0.0000 0.0000 0.5000
0.5000 0.5000 0.5000
```

Output
DOS(E_F) = 5.23 states/eV per cell
Total moment = 2.7 μB per formula unit
Space group = No. 123
V = 98 Å³/cell

---

Entry ii
VASP calculation (PBE) on crystalline Tm2TiCd at its relaxed geometry.

The structure in POSCAR format:
```
Tm2TiCd
1.0
3.3712 0.0000 0.0000
0.0000 3.3712 0.0000
0.0000 0.0000 8.5291
Tm Ti Cd
2 1 1
Direct
0.0000 0.0000 0.2403
0.0000 0.0000 0.7597
0.5000 0.5000 0.0000
0.5000 0.5000 0.5000
```

Output
DOS(E_F) = 3.79 states/eV per cell
Total moment = 0.0 μB per formula unit
Space group = No. 123
V = 97 Å³/cell

---

Relative energies in meV/atom: entry i 77; entry ii 0

---

Entry i
VASP calculation (PBE) on crystalline TiV3Cd at its relaxed geometry.

The structure in POSCAR format:
```
TiV3Cd
1.0
4.4661 0.0000 0.0000
0.0000 4.4661 0.0000
0.0000 0.0000 4.4661
Ti V Cd
1 3 1
Direct
0.0000 0.0000 0.0000
0.0000 0.0000 0.5000
0.0000 0.5000 0.0000
0.5000 0.0000 0.0000
0.5000 0.5000 0.5000
```

Output
DOS(E_F) = 9.70 states/eV per cell
Total moment = 1.1 μB per formula unit
Space group = No. 221
V = 89 Å³/cell

---

Entry ii
VASP calculation (PBE) on crystalline TiV3Cd at its relaxed geometry.

The structure in POSCAR format:
```
TiV3Cd
1.0
4.8667 0.0000 0.0000
0.0000 4.8667 0.0000
0.0000 0.0000 4.8667
Ti V Cd
1 3 1
Direct
0.0000 0.0000 0.0000
0.0000 0.5000 0.5000
0.5000 0.0000 0.5000
0.5000 0.5000 0.0000
0.5000 0.5000 0.5000
```

Output
DOS(E_F) = 8.73 states/eV per cell
Total moment = 9.1 μB per formula unit
Space group = No. 221
V = 115 Å³/cell

---

Relative energies in meV/atom: entry i 0; entry ii 728

---

Entry i
VASP calculation (PBE) on crystalline Ti2Cd2W at its relaxed geometry.

The structure in POSCAR format:
```
Ti2Cd2W
1.0
-1.8156 1.8156 7.7036
1.8156 -1.8156 7.7036
1.8156 1.8156 -7.7036
Ti Cd W
2 2 1
Direct
0.0831 0.0831 0.0000
0.9169 0.9169 0.0000
0.2500 0.7500 0.5000
0.7500 0.2500 0.5000
0.5000 0.5000 0.0000
```

Output
DOS(E_F) = 4.97 states/eV per cell
Total moment = 0.0 μB per formula unit
Space group = No. 139
V = 102 Å³/cell

---

Entry ii
VASP calculation (PBE) on crystalline Ti2Cd2W at its relaxed geometry.

The structure in POSCAR format:
```
Ti2Cd2W
1.0
7.8521 0.0000 0.0000
0.0000 7.8521 0.0000
0.0000 0.0000 3.0049
Ti Cd W
4 4 2
Direct
0.1729 0.3271 0.0000
0.3271 0.8271 0.0000
0.6729 0.1729 0.0000
0.8271 0.6729 0.0000
0.1284 0.6284 0.5000
0.3716 0.1284 0.5000
0.6284 0.8716 0.5000
0.8716 0.3716 0.5000
0.0000 0.0000 0.0000
0.5000 0.5000 0.0000
```

Output
DOS(E_F) = 5.29 states/eV per cell
Total moment = 0.0 μB per formula unit
Space group = No. 127
V = 185 Å³/cell

---

Relative energies in meV/atom: entry i 16; entry ii 0

---

Entry i
VASP calculation (PBE) on crystalline YTi2Cd2 at its relaxed geometry.

The structure in POSCAR format:
```
YTi2Cd2
1.0
8.1649 0.0000 0.0000
0.0000 8.1649 0.0000
0.0000 0.0000 3.2623
Y Ti Cd
2 4 4
Direct
0.0000 0.0000 0.0000
0.5000 0.5000 0.0000
0.1685 0.3315 0.5000
0.3315 0.8315 0.5000
0.6685 0.1685 0.5000
0.8315 0.6685 0.5000
0.1297 0.6297 0.0000
0.3703 0.1297 0.0000
0.6297 0.8703 0.0000
0.8703 0.3703 0.0000
```

Output
DOS(E_F) = 13.07 states/eV per cell
Total moment = 0.0 μB per formula unit
Space group = No. 127
V = 217 Å³/cell

---

Entry ii
VASP calculation (PBE) on crystalline YTi2Cd2 at its relaxed geometry.

The structure in POSCAR format:
```
YTi2Cd2
1.0
-2.0354 2.0354 6.8888
2.0354 -2.0354 6.8888
2.0354 2.0354 -6.8888
Y Ti Cd
1 2 2
Direct
0.0000 0.0000 0.0000
0.2500 0.7500 0.5000
0.7500 0.2500 0.5000
0.3977 0.3977 0.0000
0.6023 0.6023 0.0000
```

Output
DOS(E_F) = 6.31 states/eV per cell
Total moment = 3.3 μB per formula unit
Space group = No. 139
V = 114 Å³/cell

---

Entry iii
VASP calculation (PBE) on crystalline YTi2Cd2 at its relaxed geometry.

The structure in POSCAR format:
```
YTi2Cd2
1.0
8.4083 0.0000 0.0000
0.0000 8.4083 0.0000
0.0000 0.0000 3.0560
Y Ti Cd
2 4 4
Direct
0.0000 0.0000 0.0000
0.5000 0.5000 0.0000
0.1086 0.3914 0.0000
0.3914 0.8914 0.0000
0.6086 0.1086 0.0000
0.8914 0.6086 0.0000
0.1841 0.6841 0.5000
0.3159 0.1841 0.5000
0.6841 0.8159 0.5000
0.8159 0.3159 0.5000
```

Output
DOS(E_F) = 6.64 states/eV per cell
Total moment = 2.5 μB per formula unit
Space group = No. 127
V = 216 Å³/cell

---

Relative energies in meV/atom: entry i 87; entry ii 36; entry iii 0

---

Entry i
VASP calculation (PBE) on crystalline YTiCd2 at its relaxed geometry.

The structure in POSCAR format:
```
YTiCd2
1.0
3.5421 0.0000 0.0000
0.0000 3.5421 0.0000
0.0000 0.0000 7.1656
Y Ti Cd
1 1 2
Direct
0.0000 0.0000 0.0000
0.0000 0.0000 0.5000
0.5000 0.5000 0.2821
0.5000 0.5000 0.7179
```

Output
DOS(E_F) = 3.47 states/eV per cell
Total moment = 1.0 μB per formula unit
Space group = No. 123
V = 90 Å³/cell

---

Entry ii
VASP calculation (PBE) on crystalline YTiCd2 at its relaxed geometry.

The structure in POSCAR format:
```
YTiCd2
1.0
-4.0792 4.0792 2.9081
4.0792 -4.0792 2.9081
4.0792 4.0792 -2.9081
Y Ti Cd
2 2 4
Direct
0.0000 0.0000 0.0000
0.7500 0.2500 0.5000
0.2500 0.7500 0.5000
0.5000 0.5000 0.0000
0.1604 0.6250 0.0354
0.3750 0.4104 0.5354
0.5896 0.1250 0.9646
0.8750 0.8396 0.4646
```

Output
DOS(E_F) = 10.01 states/eV per cell
Total moment = 0.0 μB per formula unit
Space group = No. 122
V = 194 Å³/cell

---

Entry iii
VASP calculation (PBE) on crystalline YTiCd2 at its relaxed geometry.

The structure in POSCAR format:
```
YTiCd2
1.0
4.5398 0.0000 0.0000
0.0000 4.5398 0.0000
0.0000 0.0000 4.3942
Y Ti Cd
1 1 2
Direct
0.0000 0.0000 0.0000
0.5000 0.5000 0.0000
0.0000 0.5000 0.5000
0.5000 0.0000 0.5000
```

Output
DOS(E_F) = 3.78 states/eV per cell
Total moment = 1.5 μB per formula unit
Space group = No. 123
V = 91 Å³/cell

---

Relative energies in meV/atom: entry i 0; entry ii 356; entry iii 20

---

Entry i
VASP calculation (PBE) on crystalline Ti3ZnCd at its relaxed geometry.

The structure in POSCAR format:
```
Ti3ZnCd
1.0
4.6978 0.0000 0.0000
0.0000 4.6978 0.0000
0.0000 0.0000 4.6978
Ti Zn Cd
3 1 1
Direct
0.0000 0.0000 0.5000
0.0000 0.5000 0.0000
0.5000 0.0000 0.0000
0.0000 0.0000 0.0000
0.5000 0.5000 0.5000
```

Output
DOS(E_F) = 2.05 states/eV per cell
Total moment = 0.0 μB per formula unit
Space group = No. 221
V = 104 Å³/cell

---

Entry ii
VASP calculation (PBE) on crystalline Ti3ZnCd at its relaxed geometry.

The structure in POSCAR format:
```
Ti3ZnCd
1.0
4.9429 0.0000 0.0000
0.0000 4.9429 0.0000
0.0000 0.0000 4.9429
Ti Zn Cd
3 1 1
Direct
0.0000 0.0000 0.5000
0.0000 0.5000 0.0000
0.5000 0.0000 0.0000
0.5000 0.5000 0.5000
0.0000 0.0000 0.0000
```

Output
DOS(E_F) = 4.61 states/eV per cell
Total moment = 0.0 μB per formula unit
Space group = No. 221
V = 121 Å³/cell

---

Relative energies in meV/atom: entry i 0; entry ii 650

---

Entry i
VASP calculation (PBE) on crystalline TiZn2Cd2 at its relaxed geometry.

The structure in POSCAR format:
```
TiZn2Cd2
1.0
-1.7229 1.7229 8.2049
1.7229 -1.7229 8.2049
1.7229 1.7229 -8.2049
Ti Zn Cd
1 2 2
Direct
0.0000 0.0000 0.0000
0.2500 0.7500 0.5000
0.7500 0.2500 0.5000
0.3939 0.3939 0.0000
0.6061 0.6061 0.0000
```

Output
DOS(E_F) = 3.68 states/eV per cell
Total moment = 0.8 μB per formula unit
Space group = No. 139
V = 97 Å³/cell

---

Entry ii
VASP calculation (PBE) on crystalline TiZn2Cd2 at its relaxed geometry.

The structure in POSCAR format:
```
TiZn2Cd2
1.0
7.9859 0.0000 0.0000
0.0000 7.9859 0.0000
0.0000 0.0000 2.8764
Ti Zn Cd
2 4 4
Direct
0.0000 0.0000 0.0000
0.5000 0.5000 0.0000
0.1715 0.3285 0.5000
0.3285 0.8285 0.5000
0.6715 0.1715 0.5000
0.8285 0.6715 0.5000
0.1310 0.6310 0.0000
0.3690 0.1310 0.0000
0.6310 0.8690 0.0000
0.8690 0.3690 0.0000
```

Output
DOS(E_F) = 7.46 states/eV per cell
Total moment = 0.1 μB per formula unit
Space group = No. 127
V = 183 Å³/cell

---

Relative energies in meV/atom: entry i 17; entry ii 0

---

Entry i
VASP calculation (PBE) on crystalline Ti2ZnCd2 at its relaxed geometry.

The structure in POSCAR format:
```
Ti2ZnCd2
1.0
6.8339 0.0000 0.0000
0.0000 6.8339 0.0000
0.0000 0.0000 4.1131
Ti Zn Cd
4 2 4
Direct
0.1589 0.3411 0.0000
0.3411 0.8411 0.0000
0.6589 0.1589 0.0000
0.8411 0.6589 0.0000
0.0000 0.0000 0.5000
0.5000 0.5000 0.5000
0.1430 0.6430 0.5000
0.3570 0.1430 0.5000
0.6430 0.8570 0.5000
0.8570 0.3570 0.5000
```

Output
DOS(E_F) = 6.85 states/eV per cell
Total moment = 0.0 μB per formula unit
Space group = No. 127
V = 192 Å³/cell

---

Entry ii
VASP calculation (PBE) on crystalline Ti2ZnCd2 at its relaxed geometry.

The structure in POSCAR format:
```
Ti2ZnCd2
1.0
6.8006 0.0000 0.0000
0.0000 6.8006 0.0000
0.0000 0.0000 4.3416
Ti Zn Cd
4 2 4
Direct
0.1351 0.3649 0.0000
0.3649 0.8649 0.0000
0.6351 0.1351 0.0000
0.8649 0.6351 0.0000
0.0000 0.0000 0.0000
0.5000 0.5000 0.0000
0.1628 0.6628 0.5000
0.3372 0.1628 0.5000
0.6628 0.8372 0.5000
0.8372 0.3372 0.5000
```

Output
DOS(E_F) = 9.43 states/eV per cell
Total moment = 1.9 μB per formula unit
Space group = No. 127
V = 201 Å³/cell

---

Relative energies in meV/atom: entry i 0; entry ii 19

---

Entry i
VASP calculation (PBE) on crystalline TiZnCd3 at its relaxed geometry.

The structure in POSCAR format:
```
TiZnCd3
1.0
4.9389 0.0000 0.0000
0.0000 4.9389 0.0000
0.0000 0.0000 4.9389
Ti Zn Cd
1 1 3
Direct
0.0000 0.0000 0.0000
0.5000 0.5000 0.5000
0.0000 0.5000 0.5000
0.5000 0.0000 0.5000
0.5000 0.5000 0.0000
```

Output
DOS(E_F) = 3.06 states/eV per cell
Total moment = 1.9 μB per formula unit
Space group = No. 221
V = 120 Å³/cell

---

Entry ii
VASP calculation (PBE) on crystalline TiZnCd3 at its relaxed geometry.

The structure in POSCAR format:
```
TiZnCd3
1.0
5.5192 0.0000 0.0000
0.0000 5.5192 0.0000
0.0000 0.0000 5.5192
Ti Zn Cd
1 1 3
Direct
0.0000 0.0000 0.0000
0.5000 0.5000 0.5000
0.0000 0.0000 0.5000
0.0000 0.5000 0.0000
0.5000 0.0000 0.0000
```

Output
DOS(E_F) = 6.86 states/eV per cell
Total moment = 3.4 μB per formula unit
Space group = No. 221
V = 168 Å³/cell

---

Relative energies in meV/atom: entry i 0; entry ii 221

---

Entry i
VASP calculation (PBE) on crystalline ZrTiCd2 at its relaxed geometry.

The structure in POSCAR format:
```
ZrTiCd2
1.0
4.3121 0.0000 0.0000
0.0000 4.3121 0.0000
0.0000 0.0000 4.3755
Zr Ti Cd
1 1 2
Direct
0.0000 0.0000 0.0000
0.5000 0.5000 0.0000
0.0000 0.5000 0.5000
0.5000 0.0000 0.5000
```

Output
DOS(E_F) = 4.55 states/eV per cell
Total moment = 1.0 μB per formula unit
Space group = No. 123
V = 81 Å³/cell

---

Entry ii
VASP calculation (PBE) on crystalline ZrTiCd2 at its relaxed geometry.

The structure in POSCAR format:
```
ZrTiCd2
1.0
0.0000 3.4419 3.4419
3.4419 0.0000 3.4419
3.4419 3.4419 0.0000
Zr Ti Cd
1 1 2
Direct
0.0000 0.0000 0.0000
0.5000 0.5000 0.5000
0.2500 0.2500 0.2500
0.7500 0.7500 0.7500
```

Output
DOS(E_F) = 0.31 states/eV per cell
Total moment = 0.0 μB per formula unit
Space group = No. 225
V = 82 Å³/cell

---

Relative energies in meV/atom: entry i 0; entry ii 48